Record 1
Density functional theory data (GGA-PBE) for a relaxed structure of YPb3F.

Unit cell a=5.9761 b=5.9761 c=5.9761 alpha=90.00 beta=90.00 gamma=90.00
Fractional positions:
Pb  0.0000  0.5000  0.0000
Pb  0.0000  0.0000  0.5000
Pb  0.5000  0.0000  0.0000
Y  0.0000  0.0000  0.0000
F  0.5000  0.5000  0.5000

- density of states at the Fermi level (states/eV per atom) = 1.16
- total DFT energy (no corrections) (eV per atom) = -3.684
- volume (A^3/atom) = 42.7
- energy relative to the lowest polymorph listed for this composition (meV/atom) = 899.8
- E_form (uncorrected) (eV per atom) = 0.209

***

Record 2
Density functional theory data (GGA-PBE) for a relaxed structure of NbBrNO2.

Unit cell a=3.9006 b=3.9006 c=4.6143 alpha=90.00 beta=90.00 gamma=90.00
Fractional positions:
Nb  0.0000  0.0000  0.0000
O  0.0000  0.5000  0.0000
O  0.5000  0.0000  0.0000
Br  0.5000  0.5000  0.5000
N  0.0000  0.0000  0.5000

- density of states at the Fermi level (states/eV per atom) = 0.55
- total DFT energy (no corrections) (eV per atom) = -6.544
- volume (A^3/atom) = 14.0
- E_form (uncorrected) (eV per atom) = -0.547

***

Record 3
Density functional theory data (GGA-PBE) for a relaxed structure of Cs3TlHg2Cl9.

Unit cell a=7.7086 b=7.7086 c=9.4448 alpha=90.00 beta=90.00 gamma=120.00
Fractional positions:
Cs  0.3333  0.6667  0.6707
Cs  0.0000  0.0000  0.0000
Cs  0.6667  0.3333  0.3293
Tl  0.0000  0.0000  0.5000
Hg  0.3333  0.6667  0.1625
Hg  0.6667  0.3333  0.8375
Cl  0.8305  0.1695  0.6685
Cl  0.8305  0.6609  0.6685
Cl  0.3391  0.1695  0.6685
Cl  0.6609  0.8305  0.3315
Cl  0.1695  0.3391  0.3315
Cl  0.1695  0.8305  0.3315
Cl  0.5000  0.0000  0.0000
Cl  0.0000  0.5000  0.0000
Cl  0.5000  0.5000  0.0000

- density of states at the Fermi level (states/eV per atom) = 0.10
- total DFT energy (no corrections) (eV per atom) = -2.694
- volume (A^3/atom) = 32.4
- E_form (uncorrected) (eV per atom) = -1.217

***

Record 4
Density functional theory data (GGA-PBE) for a relaxed structure of Li3TmCu8.

Unit cell a=4.9746 b=4.9746 c=8.0966 alpha=90.00 beta=90.00 gamma=120.00
Fractional positions:
Li  0.6667  0.3333  0.4092
Li  0.6667  0.3333  0.0580
Li  0.0000  0.0000  0.9608
Tm  0.0000  0.0000  0.5652
Cu  0.3333  0.6667  0.4992
Cu  0.3333  0.6667  0.0001
Cu  0.5026  0.0052  0.7541
Cu  0.5026  0.4974  0.7541
Cu  0.9948  0.4974  0.7541
Cu  0.1656  0.3311  0.2484
Cu  0.1656  0.8344  0.2484
Cu  0.6689  0.8344  0.2484

- density of states at the Fermi level (states/eV per atom) = 0.49
- total DFT energy (no corrections) (eV per atom) = -3.709
- volume (A^3/atom) = 14.5
- DFT formation energy (kJ/mol of formula units) = -147

***

Record 5
Density functional theory data (GGA-PBE) for a relaxed structure of CoSiOs2.

Unit cell a=4.4424 b=4.4424 c=4.7288 alpha=76.84 beta=76.84 gamma=35.31
Fractional positions:
Co  0.2500  0.2500  0.2500
Os  0.0108  0.0108  0.0067
Os  0.4892  0.4892  0.4933
Si  0.7500  0.7500  0.7500

- density of states at the Fermi level (states/eV per atom) = 0.99
- total DFT energy (no corrections) (eV per atom) = -8.702
- volume (A^3/atom) = 13.1
- E_form (uncorrected) (eV per atom) = 0.045

***

Record 6
Density functional theory data (GGA-PBE) for a relaxed structure of LiTi2TlH.

Unit cell a=4.0368 b=4.0368 c=4.3681 alpha=90.00 beta=90.00 gamma=90.00
Fractional positions:
H  0.0000  0.0000  0.0000
Tl  0.5000  0.5000  0.5000
Li  0.0000  0.0000  0.5000
Ti  0.0000  0.5000  0.0000
Ti  0.5000  0.0000  0.0000

- density of states at the Fermi level (states/eV per atom) = 0.67
- total DFT energy (no corrections) (eV per atom) = -4.827
- volume (A^3/atom) = 14.2

***

Record 7
Density functional theory data (GGA-PBE) for a relaxed structure of NaLa2Pu3Se6.

Unit cell a=4.2177 b=8.4941 c=9.4694 alpha=103.45 beta=102.87 gamma=90.00
Site moments in Bohr magnetons follow the coordinates.
Fractional positions:
Na  0.5000  0.0000  0.0000  0.00
La  0.8345  0.6687  0.6690  0.11
La  0.1655  0.3313  0.3310  0.11
Pu  0.5000  0.5000  0.0000  5.40
Pu  0.8338  0.1669  0.6676  5.44
Pu  0.1662  0.8331  0.3324  5.44
Se  0.3320  0.9241  0.6640  -0.06
Se  0.6641  0.5898  0.3283  -0.05
Se  0.6680  0.0759  0.3360  -0.06
Se  0.9976  0.2556  0.9952  -0.07
Se  0.0024  0.7444  0.0048  -0.07
Se  0.3359  0.4102  0.6717  -0.05

- density of states at the Fermi level (states/eV per atom) = 2.38
- total DFT energy (no corrections) (eV per atom) = -7.917
- volume (A^3/atom) = 26.8
- E_form (uncorrected) (eV per atom) = -1.661

***

Record 8
Density functional theory data (GGA-PBE) for a relaxed structure of Rb2NaTeO.

Unit cell a=6.7682 b=5.2550 c=6.7682 alpha=90.00 beta=90.00 gamma=90.00
Site moments in Bohr magnetons follow the coordinates.
Fractional positions:
Na  0.0000  0.0000  0.0000  0.00
Te  0.0000  0.5000  0.0000  0.01
O  0.5000  0.5000  0.5000  0.81
Rb  0.0000  0.0000  0.5000  0.00
Rb  0.5000  0.0000  0.0000  0.00

- density of states at the Fermi level (states/eV per atom) = 2.89
- total DFT energy (no corrections) (eV per atom) = -2.415
- volume (A^3/atom) = 48.1
- energy relative to the lowest polymorph listed for this composition (meV/atom) = 731.6
- E_form (uncorrected) (eV per atom) = -0.145

***

Record 9
Density functional theory data (GGA-PBE) for a relaxed structure of TcSbTe2Se.

Unit cell a=5.3843 b=5.3843 c=5.4343 alpha=90.00 beta=90.00 gamma=90.00
Site moments in Bohr magnetons follow the coordinates.
Fractional positions:
Sb  0.0000  0.0000  0.5000  -0.19
Te  0.0000  0.5000  0.0000  -0.02
Te  0.5000  0.0000  0.0000  -0.02
Tc  0.5000  0.5000  0.5000  3.70
Se  0.0000  0.0000  0.0000  -0.02

- density of states at the Fermi level (states/eV per atom) = 0.73
- total DFT energy (no corrections) (eV per atom) = -3.648
- volume (A^3/atom) = 31.5
- energy relative to the lowest polymorph listed for this composition (meV/atom) = 704.7
- E_form (uncorrected) (eV per atom) = 1.203

***

Record 10
Density functional theory data (GGA-PBE) for a relaxed structure of YTe2Rh.

Unit cell a=4.9473 b=4.9473 c=5.3851 alpha=69.82 beta=69.82 gamma=104.91
Fractional positions:
Rh  0.0000  0.5000  0.5000
Te  0.0000  0.0000  0.0000
Te  0.5000  0.5000  0.0000
Y  0.5000  0.0000  0.5000

- density of states at the Fermi level (states/eV per atom) = 0.76
- total DFT energy (no corrections) (eV per atom) = -5.438
- volume (A^3/atom) = 26.3
- energy relative to the lowest polymorph listed for this composition (meV/atom) = 398.9
- E_form (uncorrected) (eV per atom) = -0.413

***

Record 11
Density functional theory data (GGA-PBE) for a relaxed structure of CrTcSb2.

Unit cell a=8.4893 b=8.4893 c=8.4893 alpha=22.65 beta=22.65 gamma=22.65
Site moments in Bohr magnetons follow the coordinates.
Fractional positions:
Cr  0.7500  0.7500  0.7500  3.59
Sb  0.9948  0.9948  0.9948  -0.03
Sb  0.5052  0.5052  0.5052  -0.03
Tc  0.2500  0.2500  0.2500  0.15

- density of states at the Fermi level (states/eV per atom) = 0.97
- total DFT energy (no corrections) (eV per atom) = -6.699
- volume (A^3/atom) = 19.9
- energy relative to the lowest polymorph listed for this composition (meV/atom) = 232.9
- E_form (uncorrected) (eV per atom) = 0.360

***

Record 12
Density functional theory data (GGA-PBE) for a relaxed structure of Er6TlCu5.

Unit cell a=4.9209 b=7.0996 c=7.7650 alpha=90.00 beta=71.53 gamma=90.00
Fractional positions:
Tl  0.0000  0.0000  0.0000
Cu  0.6652  0.5000  0.6696
Cu  0.3364  0.0000  0.3272
Cu  0.0000  0.5000  0.0000
Cu  0.6636  0.0000  0.6728
Cu  0.3348  0.5000  0.3304
Er  0.8278  0.7424  0.3444
Er  0.8278  0.2576  0.3444
Er  0.5000  0.2667  0.0000
Er  0.5000  0.7333  0.0000
Er  0.1722  0.7424  0.6556
Er  0.1722  0.2576  0.6556

- density of states at the Fermi level (states/eV per atom) = 0.49
- total DFT energy (no corrections) (eV per atom) = -4.444
- volume (A^3/atom) = 21.4
- DFT formation energy (kJ/mol of formula units) = -300

***

Look up the density of states at the Fermi level of the seventh one.
2.38 states/eV per atom

***

total DFT energy (no corrections) of number 7 (NaLa2Pu3Se6)?
-7.917 eV per atom

***

Which value of total DFT energy (no corrections) does entry 12 give?
-4.444 eV per atom